No. 1
Compound: Mg3SiO
Source: Alexandria via LeMat-Bulk
Functional: PBE-GGA
Structure: optimized geometry

```
Mg3SiO
1.0
4.2229 0.0000 0.0000
0.0000 4.2229 0.0000
0.0000 0.0000 4.2229
Mg Si O
3 1 1
Direct
0.0000 0.0000 0.5000 Mg
0.0000 0.5000 0.0000 Mg
0.5000 0.0000 0.0000 Mg
0.5000 0.5000 0.5000 Si
0.0000 0.0000 0.0000 O
```

The total moment is 0.0000 μB/atom. The total energy is -20.18 eV for the cell shown. The calculation puts the density at 2.58 g cm⁻³. The excess energy over the best structure of this formula in the dataset comes out at 0 meV/atom. Its space group is Pm-3m.

---

No. 2
Compound: Mg2SiO4
Source: Alexandria via LeMat-Bulk
Functional: PBE-GGA
Structure: optimized geometry

```
Mg2SiO4
1.0
1.3987 -4.7516 0.0000
1.3987 4.7516 0.0000
0.0000 0.0000 9.4617
Mg Si O
4 2 8
Direct
0.1084 0.8916 0.5000 Mg
0.3608 0.6392 0.6683 Mg
0.6392 0.3608 0.1683 Mg
0.8916 0.1084 0.0000 Mg
0.3733 0.6267 0.3134 Si
0.6267 0.3733 0.8134 Si
0.0057 0.9943 0.7520 O
0.2470 0.7530 0.8599 O
0.2951 0.7049 0.1410 O
0.4549 0.5451 0.4767 O
0.5451 0.4549 0.9767 O
0.7049 0.2951 0.6410 O
0.7530 0.2470 0.3599 O
0.9943 0.0057 0.2520 O
```

The total moment is 0.0000 μB/atom. The total energy is -93.46 eV for the cell shown. The calculation puts the density at 3.72 g cm⁻³. The excess energy over the best structure of this formula in the dataset comes out at 213 meV/atom. Its space group is Cmc2_1.

---

No. 3
Compound: MgSi6O12
Source: Alexandria via LeMat-Bulk
Functional: PBE-GGA
Structure: optimized geometry

```
MgSi6O12
1.0
5.0528 0.0000 0.0000
2.4415 7.0246 0.0000
2.0669 1.7008 7.4344
Mg Si O
1 6 12
Direct
0.0000 0.0000 0.0000 Mg
0.2175 0.9328 0.6118 Si
0.4785 0.0175 0.2262 Si
0.5609 0.4378 0.0867 Si
0.5818 0.5039 0.6750 Si
0.6210 0.0635 0.7788 Si
0.9028 0.5876 0.2789 Si
0.2362 0.0096 0.1429 O
0.2356 0.5427 0.1754 O
0.3154 0.9884 0.7737 O
0.3187 0.6967 0.6304 O
0.3883 0.0438 0.4312 O
0.4859 0.3081 0.7031 O
0.6278 0.2000 0.1208 O
0.6520 0.5105 0.8675 O
0.7617 0.4787 0.1912 O
0.7740 0.8269 0.2142 O
0.8475 0.5203 0.4991 O
0.8790 0.0018 0.6029 O
```

The total moment is 0.0000 μB/atom. The total energy is -142.50 eV for the cell shown. The calculation puts the density at 2.42 g cm⁻³. The excess energy over the best structure of this formula in the dataset comes out at 0 meV/atom. Its space group is P1.

---

No. 4
Compound: Mg2SiO4
Source: Alexandria via LeMat-Bulk
Functional: PBE-GGA
Structure: optimized geometry

```
Mg2SiO4
1.0
0.0000 4.0761 4.0761
4.0761 0.0000 4.0761
4.0761 4.0761 0.0000
Mg Si O
4 2 8
Direct
0.0000 0.0000 0.0000 Mg
0.0000 0.0000 0.5000 Mg
0.0000 0.5000 0.0000 Mg
0.5000 0.0000 0.0000 Mg
0.3750 0.3750 0.3750 Si
0.6250 0.6250 0.6250 Si
0.2559 0.2559 0.2559 O
0.2559 0.2559 0.7322 O
0.2559 0.7322 0.2559 O
0.2678 0.7441 0.7441 O
0.7322 0.2559 0.2559 O
0.7441 0.2678 0.7441 O
0.7441 0.7441 0.2678 O
0.7441 0.7441 0.7441 O
```

The total moment is 0.0000 μB/atom. The total energy is -95.42 eV for the cell shown. The calculation puts the density at 3.45 g cm⁻³. The excess energy over the best structure of this formula in the dataset comes out at 72 meV/atom. Its space group is Fd-3m.

---

No. 5
Compound: Mg2SiO4
Source: Alexandria via LeMat-Bulk
Functional: PBE-GGA
Structure: optimized geometry

```
Mg2SiO4
1.0
-3.5164 3.5164 3.2837
3.5164 -3.5164 3.2837
3.5164 3.5164 -3.2837
Mg Si O
4 2 8
Direct
0.0486 0.1250 0.4236 Mg
0.3750 0.9514 0.0764 Mg
0.7014 0.6250 0.5764 Mg
0.8750 0.2986 0.9236 Mg
0.2500 0.7500 0.5000 Si
0.5000 0.5000 0.0000 Si
0.1071 0.8080 0.6919 O
0.1161 0.4152 0.3081 O
0.1652 0.3661 0.8081 O
0.1920 0.8839 0.2991 O
0.5580 0.3571 0.1919 O
0.5848 0.8929 0.7009 O
0.6339 0.4420 0.7991 O
0.6429 0.8348 0.2009 O
```

The total moment is 0.0000 μB/atom. The total energy is -95.83 eV for the cell shown. The calculation puts the density at 2.88 g cm⁻³. The excess energy over the best structure of this formula in the dataset comes out at 43 meV/atom. Its space group is I-42d.

---

No. 6
Compound: MgSiO2
Source: Alexandria via LeMat-Bulk
Functional: PBE-GGA
Structure: optimized geometry

```
MgSiO2
1.0
0.0000 2.7769 2.7769
2.7769 0.0000 2.7769
2.7769 2.7769 0.0000
Mg Si O
1 1 2
Direct
0.0000 0.0000 0.0000 Mg
0.5000 0.5000 0.5000 Si
0.2500 0.2500 0.2500 O
0.7500 0.7500 0.7500 O
```

The total moment is 0.0000 μB/atom. The total energy is -20.44 eV for the cell shown. The calculation puts the density at 3.27 g cm⁻³. The excess energy over the best structure of this formula in the dataset comes out at 1151 meV/atom. Its space group is Fm-3m.

---

No. 7
Compound: MgSiO
Source: Alexandria via LeMat-Bulk
Functional: PBE-GGA
Structure: optimized geometry

```
MgSiO
1.0
1.4208 -6.1065 0.0000
1.4208 6.1065 0.0000
0.0000 0.0000 4.7411
Mg Si O
2 2 2
Direct
0.1656 0.8344 0.5000 Mg
0.8344 0.1656 0.0000 Mg
0.4254 0.5746 0.5455 Si
0.5746 0.4254 0.0455 Si
0.3178 0.6822 0.2991 O
0.6822 0.3178 0.7991 O
```

The total moment is 0.0000 μB/atom. The total energy is -31.60 eV for the cell shown. The calculation puts the density at 2.76 g cm⁻³. The excess energy over the best structure of this formula in the dataset comes out at 152 meV/atom. Its space group is Cmc2_1.

---

No. 8
Compound: MgSiO2
Source: Alexandria via LeMat-Bulk
Functional: PBE-GGA
Structure: optimized geometry

```
MgSiO2
1.0
-2.3119 2.3119 4.9917
2.3119 -2.3119 4.9917
2.3119 2.3119 -4.9917
Mg Si O
2 2 4
Direct
0.0000 0.0000 0.0000 Mg
0.7500 0.2500 0.5000 Mg
0.2500 0.7500 0.5000 Si
0.5000 0.5000 0.0000 Si
0.1232 0.6250 0.9982 O
0.3750 0.3732 0.4982 O
0.6268 0.1250 0.0018 O
0.8750 0.8768 0.5018 O
```

The total moment is 0.0000 μB/atom. The total energy is -45.28 eV for the cell shown. The calculation puts the density at 2.63 g cm⁻³. The excess energy over the best structure of this formula in the dataset comes out at 601 meV/atom. Its space group is I-42d.

---

No. 9
Compound: Mg2SiO4
Source: Alexandria via LeMat-Bulk
Functional: PBE-GGA
Structure: optimized geometry

```
Mg2SiO4
1.0
2.9503 -4.7021 0.0000
2.9503 4.7021 0.0000
-2.9485 0.0000 5.4359
Mg Si O
4 2 8
Direct
0.0686 0.9314 0.7500 Mg
0.3192 0.6808 0.2500 Mg
0.6808 0.3192 0.7500 Mg
0.9314 0.0686 0.2500 Mg
0.3750 0.6250 0.7500 Si
0.6250 0.3750 0.2500 Si
0.1837 0.6590 0.9076 O
0.2511 0.2756 0.5940 O
0.2756 0.2511 0.0940 O
0.3410 0.8163 0.5924 O
0.6590 0.1837 0.4076 O
0.7244 0.7489 0.9060 O
0.7489 0.7244 0.4060 O
0.8163 0.3410 0.0924 O
```

The total moment is 0.0000 μB/atom. The total energy is -95.22 eV for the cell shown. The calculation puts the density at 3.10 g cm⁻³. The excess energy over the best structure of this formula in the dataset comes out at 87 meV/atom. Its space group is C2/c.

---

No. 10
Compound: Mg2SiO4
Source: Alexandria via LeMat-Bulk
Functional: PBE-GGA
Structure: optimized geometry

```
Mg2SiO4
1.0
10.3173 0.0000 0.0000
0.0000 6.0471 0.0000
0.0000 0.0000 4.8028
Mg Si O
8 4 16
Direct
0.0000 0.0000 0.0000 Mg
0.0000 0.5000 0.0000 Mg
0.2228 0.2500 0.4915 Mg
0.2772 0.7500 0.9915 Mg
0.5000 0.0000 0.5000 Mg
0.5000 0.5000 0.5000 Mg
0.7228 0.2500 0.0085 Mg
0.7772 0.7500 0.5085 Mg
0.0936 0.7500 0.4261 Si
0.4064 0.2500 0.9261 Si
0.5936 0.7500 0.0739 Si
0.9064 0.2500 0.5739 Si
0.0533 0.2500 0.7220 O
0.0917 0.7500 0.7660 O
0.1628 0.5330 0.2770 O
0.1628 0.9670 0.2770 O
0.3372 0.0330 0.7770 O
0.3372 0.4670 0.7770 O
0.4083 0.2500 0.2660 O
0.4467 0.7500 0.2220 O
0.5533 0.2500 0.7780 O
0.5917 0.7500 0.7340 O
0.6628 0.5330 0.2230 O
0.6628 0.9670 0.2230 O
0.8372 0.0330 0.7230 O
0.8372 0.4670 0.7230 O
0.9083 0.2500 0.2340 O
0.9467 0.7500 0.2780 O
```

The total moment is 0.0000 μB/atom. The total energy is -192.87 eV for the cell shown. The calculation puts the density at 3.12 g cm⁻³. The excess energy over the best structure of this formula in the dataset comes out at 0 meV/atom. Its space group is Pnma.

---

No. 11
Compound: MgSi2O5
Source: Alexandria via LeMat-Bulk
Functional: PBE-GGA
Structure: optimized geometry

```
MgSi2O5
1.0
6.9972 0.0000 0.0000
0.0000 7.6902 0.0000
0.0000 0.0000 5.3684
Mg Si O
4 8 20
Direct
0.1532 0.1566 0.0000 Mg
0.3468 0.6566 0.0000 Mg
0.6532 0.3434 0.0000 Mg
0.8468 0.8434 0.0000 Mg
0.0000 0.5000 0.2452 Si
0.0000 0.5000 0.7548 Si
0.1143 0.8532 0.5000 Si
0.3857 0.3532 0.5000 Si
0.5000 0.0000 0.2452 Si
0.5000 0.0000 0.7548 Si
0.6143 0.6468 0.5000 Si
0.8857 0.1468 0.5000 Si
0.0000 0.0000 0.2879 O
0.0000 0.0000 0.7121 O
0.1179 0.7029 0.2619 O
0.1179 0.7029 0.7381 O
0.1527 0.4330 0.0000 O
0.1539 0.4215 0.5000 O
0.3461 0.9215 0.5000 O
0.3473 0.9330 0.0000 O
0.3821 0.2029 0.2619 O
0.3821 0.2029 0.7381 O
0.5000 0.5000 0.2879 O
0.5000 0.5000 0.7121 O
0.6179 0.7971 0.2619 O
0.6179 0.7971 0.7381 O
0.6527 0.0670 0.0000 O
0.6539 0.0785 0.5000 O
0.8461 0.5785 0.5000 O
0.8473 0.5670 0.0000 O
0.8821 0.2971 0.2619 O
0.8821 0.2971 0.7381 O
```

The total moment is 0.0000 μB/atom. The total energy is -233.60 eV for the cell shown. The calculation puts the density at 3.69 g cm⁻³. Its space group is Pbam.

---

No. 12
Compound: MgSi6O12
Source: Alexandria via LeMat-Bulk
Functional: PBE-GGA
Structure: optimized geometry

```
MgSi6O12
1.0
6.9939 -2.6590 0.0000
6.9939 2.6590 0.0000
-6.3940 0.0000 7.0935
Mg Si O
1 6 12
Direct
0.0000 0.0000 0.0000 Mg
0.0378 0.6234 0.5560 Si
0.3766 0.9622 0.4440 Si
0.4487 0.5513 0.5000 Si
0.4753 0.5247 0.0000 Si
0.4963 0.1799 0.0878 Si
0.8201 0.5037 0.9122 Si
0.0445 0.8402 0.7627 O
0.1578 0.3400 0.9814 O
0.1598 0.9555 0.2373 O
0.1626 0.6034 0.4484 O
0.2610 0.2970 0.5722 O
0.3966 0.8374 0.5516 O
0.5639 0.3088 0.3147 O
0.6081 0.2264 0.0142 O
0.6600 0.8422 0.0186 O
0.6912 0.4361 0.6853 O
0.7030 0.7390 0.4278 O
0.7736 0.3919 0.9858 O
```

The total moment is 0.0000 μB/atom. The total energy is -141.61 eV for the cell shown. The calculation puts the density at 2.42 g cm⁻³. The excess energy over the best structure of this formula in the dataset comes out at 47 meV/atom. Its space group is C2.

---

No. 13
Compound: MgSiO
Source: Alexandria via LeMat-Bulk
Functional: PBE-GGA
Structure: optimized geometry

```
MgSiO
1.0
4.8777 -1.4785 0.0000
4.8777 1.4785 0.0000
-4.0563 0.0000 5.7225
Mg Si O
2 2 2
Direct
0.0000 0.0000 0.0000 Mg
0.1854 0.1854 0.5020 Mg
0.6278 0.6278 0.7834 Si
0.8194 0.8194 0.2034 Si
0.4381 0.4381 0.7610 O
0.6635 0.6635 0.2683 O
```

The total moment is 0.0000 μB/atom. The total energy is -31.67 eV for the cell shown. The calculation puts the density at 2.75 g cm⁻³. The excess energy over the best structure of this formula in the dataset comes out at 141 meV/atom. Its space group is Cm.

---

No. 14
Compound: Mg2SiO4
Source: Alexandria via LeMat-Bulk
Functional: PBE-GGA
Structure: optimized geometry

```
Mg2SiO4
1.0
5.0442 0.0000 0.0000
0.0000 8.8826 0.0000
0.0000 0.0000 2.8413
Mg Si O
4 2 8
Direct
0.0644 0.1838 0.0000 Mg
0.4356 0.6838 0.0000 Mg
0.5644 0.3162 0.0000 Mg
0.9356 0.8162 0.0000 Mg
0.0000 0.5000 0.5000 Si
0.5000 0.0000 0.5000 Si
0.1382 0.6829 0.5000 O
0.2252 0.4501 0.0000 O
0.2748 0.9501 0.0000 O
0.3618 0.1829 0.5000 O
0.6382 0.8171 0.5000 O
0.7252 0.0499 0.0000 O
0.7748 0.5499 0.0000 O
0.8618 0.3171 0.5000 O
```

The total moment is 0.0000 μB/atom. The total energy is -94.01 eV for the cell shown. The calculation puts the density at 3.67 g cm⁻³. The excess energy over the best structure of this formula in the dataset comes out at 173 meV/atom. Its space group is Pbam.

---

No. 15
Compound: Mg2SiO4
Source: Alexandria via LeMat-Bulk
Functional: PBE-GGA
Structure: optimized geometry

```
Mg2SiO4
1.0
4.9457 0.0000 0.0000
0.0000 8.2074 0.0000
0.0000 0.0000 8.6360
Mg Si O
8 4 16
Direct
0.0860 0.1451 0.4729 Mg
0.1573 0.7666 0.6437 Mg
0.3427 0.2334 0.1437 Mg
0.4140 0.8549 0.9729 Mg
0.5860 0.3549 0.5271 Mg
0.6573 0.7334 0.3563 Mg
0.8427 0.2666 0.8563 Mg
0.9140 0.6451 0.0271 Mg
0.1541 0.5064 0.3739 Si
0.3459 0.4936 0.8739 Si
0.6541 0.9936 0.6261 Si
0.8459 0.0064 0.1261 Si
0.0267 0.8873 0.0121 O
0.0448 0.1012 0.2469 O
0.1018 0.6130 0.8123 O
0.1630 0.3581 0.9734 O
0.3370 0.6419 0.4734 O
0.3982 0.3870 0.3123 O
0.4552 0.8988 0.7469 O
0.4733 0.1127 0.5121 O
0.5267 0.6127 0.9879 O
0.5448 0.3988 0.7531 O
0.6018 0.8870 0.1877 O
0.6630 0.1419 0.0266 O
0.8370 0.8581 0.5266 O
0.8982 0.1130 0.6877 O
0.9552 0.6012 0.2531 O
0.9733 0.3873 0.4879 O
```

The total moment is 0.0000 μB/atom. The total energy is -189.82 eV for the cell shown. The calculation puts the density at 2.67 g cm⁻³. The excess energy over the best structure of this formula in the dataset comes out at 109 meV/atom. Its space group is P2_12_12_1.

---

No. 16
Compound: MgSiO
Source: Alexandria via LeMat-Bulk
Functional: PBE-GGA
Structure: optimized geometry

```
MgSiO
1.0
10.0278 0.0000 0.0000
0.0000 1.4553 2.7483
0.0000 -1.4553 2.7483
Mg Si O
2 2 2
Direct
0.2286 0.0000 0.0000 Mg
0.7714 0.0000 0.0000 Mg
0.0000 0.3474 0.3474 Si
0.5000 0.2049 0.2049 Si
0.3262 0.6813 0.6813 O
0.6738 0.6813 0.6813 O
```

The total moment is 0.0000 μB/atom. The total energy is -30.02 eV for the cell shown. The calculation puts the density at 2.83 g cm⁻³. The excess energy over the best structure of this formula in the dataset comes out at 416 meV/atom. Its space group is Amm2.

---

No. 17
Compound: Mg2SiO4
Source: Alexandria via LeMat-Bulk
Functional: PBE-GGA
Structure: optimized geometry

```
Mg2SiO4
1.0
-2.8792 5.7825 4.1787
2.8792 -5.7825 4.1787
2.8792 5.7825 -4.1787
Mg Si O
8 4 16
Direct
0.0000 0.0000 0.0000 Mg
0.1229 0.0000 0.6229 Mg
0.1229 0.5000 0.1229 Mg
0.2801 0.0301 0.2500 Mg
0.5000 0.0000 0.5000 Mg
0.7199 0.9699 0.7500 Mg
0.8771 0.0000 0.3771 Mg
0.8771 0.5000 0.8771 Mg
0.2361 0.6164 0.6197 Si
0.4967 0.6164 0.8803 Si
0.5033 0.3836 0.1197 Si
0.7639 0.3836 0.3803 Si
0.0338 0.7838 0.2500 O
0.1299 0.2683 0.3838 O
0.1299 0.7461 0.8616 O
0.2546 0.7444 0.5101 O
0.2657 0.2556 0.0101 O
0.3845 0.2683 0.6384 O
0.3845 0.7461 0.1162 O
0.4662 0.7162 0.7500 O
0.5338 0.2838 0.2500 O
0.6155 0.2539 0.8838 O
0.6155 0.7317 0.3616 O
0.7343 0.7444 0.9899 O
0.7454 0.2556 0.4899 O
0.8701 0.2539 0.1384 O
0.8701 0.7317 0.6162 O
0.9662 0.2162 0.7500 O
```

The total moment is 0.0001 μB/atom. The total energy is -191.46 eV for the cell shown. The calculation puts the density at 3.36 g cm⁻³. The excess energy over the best structure of this formula in the dataset comes out at 50 meV/atom. Its space group is Imma.